No. 1
Crystalline GaB2Mo at its relaxed geometry, computed with PBE.

Lattice parameters (Å, degrees): 5.762 5.762 4.958 54.48 54.48 90.00
Fractional coordinates of all 8 atoms:
B: 0.611 0.125 0.250
B: 0.139 0.625 0.250
B: 0.875 0.861 0.750
B: 0.375 0.389 0.750
Ga: 0.250 0.750 0.500
Ga: 0.500 0.500 0.000
Mo: 0.750 0.250 0.500
Mo: 0.000 0.000 0.000

Output
**Energy**: -48.74 eV/cell

***

No. 2
Crystalline LiGd2Ga at its relaxed geometry, computed with PBE.

Lattice parameters (Å, degrees): 5.149 5.149 5.149 60.00 60.00 60.00
Fractional coordinates of all 4 atoms:
Gd: 0.500 0.500 0.500
Ga: 0.250 0.250 0.250
Gd: 0.000 0.000 0.000
Li: 0.750 0.750 0.750

Output
**Energy**: -34.39 eV/cell

***

Number 1: total moment 0.00 μB per atom. Number 2: total moment 3.69 μB per atom.